Entry 1:
# Sr2ZnNiPb

A relaxed structure of Sr2ZnNiPb (PBE, Alexandria via LeMat-Bulk).

Calculated total energy   -2.953 eV per atom
Space group   No. 123
Size of the total moment   0.0 μB/cell
Calculated formation energy   -12.34 kJ per mole of atoms

Unit cell a=5.7069 b=5.7069 c=4.6372 alpha=90.00 beta=90.00 gamma=90.00
Closest atoms and distances in Å follow each position.
Element x y z (fractional)
Sr  0.0000  0.5000  0.0000  2 Ni 2.85
Sr  0.5000  0.0000  0.0000  2 Ni 2.85
Zn  0.0000  0.0000  0.5000  2 Ni 2.32
Ni  0.0000  0.0000  0.0000  2 Zn 2.32
Pb  0.5000  0.5000  0.5000  8 Sr 3.68, 4 Zn 4.04

---

Entry 2:
# TaNi2Pb

A relaxed structure of TaNi2Pb (PBE, Alexandria via LeMat-Bulk).

Calculated total energy   -6.367 eV per atom
Space group   No. 216
Size of the total moment   0.0 μB/cell
Calculated formation energy   39.96 kJ per mole of atoms

Unit cell a=4.4965 b=4.4965 c=4.4965 alpha=60.00 beta=60.00 gamma=60.00
Closest atoms and distances in Å follow each position.
Element x y z (fractional)
Ta  0.0000  0.0000  0.0000  4 Ni 2.75, 4 Pb 2.75
Ni  0.2500  0.2500  0.2500  4 Ni 2.75, 4 Ta 2.75
Ni  0.5000  0.5000  0.5000  4 Pb 2.75, 4 Ni 2.75
Pb  0.7500  0.7500  0.7500  4 Ta 2.75, 4 Ni 2.75

---

Entry 3:
# TaNi2Pb

A relaxed structure of TaNi2Pb (PBE, Alexandria via LeMat-Bulk).

Calculated total energy   -6.530 eV per atom
Space group   No. 123
Size of the total moment   0.0 μB/cell
Calculated formation energy   24.25 kJ per mole of atoms

Unit cell a=4.1912 b=4.1912 c=3.6142 alpha=90.00 beta=90.00 gamma=90.00
Closest atoms and distances in Å follow each position.
Element x y z (fractional)
Ta  0.0000  0.0000  0.0000  8 Ni 2.77, 4 Pb 2.96
Ni  0.0000  0.5000  0.5000  4 Ta 2.77, 4 Pb 2.77, 4 Ni 2.96
Ni  0.5000  0.0000  0.5000  4 Ta 2.77, 4 Pb 2.77, 4 Ni 2.96
Pb  0.5000  0.5000  0.0000  8 Ni 2.77, 4 Ta 2.96